A plane-wave DFT calculation with GGA-PBE was carried out for Sm2GaW after structural relaxation.

It has space group R-3m (No. 166, hexagonal axes), with a = 3.1437 Å, b = 3.1437 Å, c = 32.8907 Å, α = 90.00°, β = 90.00° and γ = 120.00°. The inequivalent atoms are Sm at (0.0000, 0.0000, 0.0879), Ga at (0.0000, 0.0000, 0.5000) and W at (0.0000, 0.0000, 0.0000).

The raw total energy is -68.38 eV per cell.

***

A plane-wave DFT calculation with GGA-PBE was carried out for SmYGa4 after structural relaxation.

It has space group Immm (No. 71), with a = 4.2422 Å, b = 7.3372 Å, c = 8.3163 Å, α = 90.00°, β = 90.00° and γ = 90.00°. The inequivalent atoms are Sm at (0.0000, 0.0000, 0.0000), Y at (0.0000, 0.0000, 0.5000) and Ga at (0.0000, 0.3333, 0.2499).

As for the relative energy among the computed polymorphs: 0.00 kcal/mol of atoms.

***

A plane-wave DFT calculation with GGA-PBE was carried out for SmYGa3 after structural relaxation.

It has space group Cmcm (No. 63), with a = 4.2552 Å, b = 25.7141 Å, c = 4.1956 Å, α = 90.00°, β = 90.00° and γ = 90.00°. The inequivalent atoms are Sm at (0.0000, 0.0729, 0.2500), Y at (0.0000, 0.2037, 0.7500), Ga at (0.0000, 0.3237, 0.7500), Ga at (0.0000, 0.3801, 0.2500) and Ga at (0.0000, 0.4759, 0.2500).

The raw total energy is -94.56 eV per cell.

***

A plane-wave DFT calculation with GGA-PBE was carried out for SmY3Ga2 after structural relaxation.

It has space group Pmc2_1 (No. 26), with a = 4.9751 Å, b = 9.5723 Å, c = 6.6399 Å, α = 90.00°, β = 90.00° and γ = 90.00°. The inequivalent atoms are Sm at (0.0000, 0.0504, 0.0000), Y at (0.0000, 0.3233, 0.6316), Y at (0.5000, 0.1830, 0.2917), Y at (0.5000, 0.4466, 0.9261), Ga at (0.0000, 0.3618, 0.1720) and Ga at (0.5000, 0.1403, 0.7507).

As for the relative energy among the computed polymorphs: 0.00 kcal/mol of atoms.

***

A plane-wave DFT calculation with GGA-PBE was carried out for Sm2YGa after structural relaxation.

It has space group Fm-3m (No. 225), with a = 7.6416 Å, b = 7.6416 Å, c = 7.6416 Å, α = 90.00°, β = 90.00° and γ = 90.00°. The inequivalent atoms are Sm at (0.2500, 0.2500, 0.2500), Y at (0.0000, 0.0000, 0.0000) and Ga at (0.0000, 0.0000, 0.5000).

As for the relative energy among the computed polymorphs: 4.53 kcal/mol of atoms.

***

A plane-wave DFT calculation with GGA-PBE was carried out for SmY3Ga4 after structural relaxation.

It has space group P4/mmm (No. 123), with a = 5.0889 Å, b = 5.0889 Å, c = 7.1872 Å, α = 90.00°, β = 90.00° and γ = 90.00°. The inequivalent atoms are Sm at (0.0000, 0.0000, 0.0000), Y at (0.0000, 0.0000, 0.5000), Y at (0.5000, 0.5000, 0.0000), Y at (0.5000, 0.5000, 0.5000) and Ga at (0.0000, 0.5000, 0.2541).

The raw total energy is -40.98 eV per cell.

***

A plane-wave DFT calculation with GGA-PBE was carried out for Sm4YGa5 after structural relaxation.

It has space group P4/mmm (No. 123), with a = 3.6310 Å, b = 3.6310 Å, c = 18.1892 Å, α = 90.00°, β = 90.00° and γ = 90.00°. The inequivalent atoms are Sm at (0.0000, 0.0000, 0.1008), Sm at (0.0000, 0.0000, 0.3028), Y at (0.0000, 0.0000, 0.5000), Ga at (0.5000, 0.5000, 0.0000), Ga at (0.5000, 0.5000, 0.2017) and Ga at (0.5000, 0.5000, 0.4049).

The raw total energy is -46.27 eV per cell.

***

A plane-wave DFT calculation with GGA-PBE was carried out for Sm5YGa4 after structural relaxation.

It has space group C2/m (No. 12), with a = 17.5395 Å, b = 3.7666 Å, c = 8.8333 Å, α = 90.00°, β = 95.24° and γ = 90.00°. The inequivalent atoms are Sm at (0.0000, 0.0000, 0.0000), Sm at (0.1493, 0.5000, 0.2844), Sm at (0.1869, 0.5000, 0.8417), Y at (0.0000, 0.0000, 0.5000), Ga at (0.0226, 0.5000, 0.7518) and Ga at (0.1868, 0.0000, 0.5574).

The raw total energy is -89.96 eV per cell.

***

A plane-wave DFT calculation with GGA-PBE was carried out for Sm2YGa4 after structural relaxation.

It has space group Immm (No. 71), with a = 4.1725 Å, b = 4.3053 Å, c = 18.5654 Å, α = 90.00°, β = 90.00° and γ = 90.00°. The inequivalent atoms are Sm at (0.0000, 0.0000, 0.1844), Y at (0.0000, 0.5000, 0.5000), Ga at (0.0000, 0.0000, 0.3571) and Ga at (0.0000, 0.5000, 0.0656).

The raw total energy is -64.85 eV per cell.

***

A plane-wave DFT calculation with GGA-PBE was carried out for SmY2Ga2 after structural relaxation.

It has space group P2_1/m (No. 11), with a = 5.7328 Å, b = 4.0740 Å, c = 12.1014 Å, α = 90.00°, β = 98.57° and γ = 90.00°. The inequivalent atoms are Sm at (0.0443, 0.2500, 0.2873), Y at (0.2640, 0.7500, 0.0556), Y at (0.4136, 0.2500, 0.6278), Ga at (0.1394, 0.7500, 0.4801) and Ga at (0.2099, 0.2500, 0.8659).

As for the relative energy among the computed polymorphs: 3.07 kcal/mol of atoms.

***

A plane-wave DFT calculation with GGA-PBE was carried out for Sm2YGa after structural relaxation.

It has space group P4/mmm (No. 123), with a = 3.5942 Å, b = 3.5942 Å, c = 8.9988 Å, α = 90.00°, β = 90.00° and γ = 90.00°. The inequivalent atoms are Sm at (0.0000, 0.0000, 0.2091), Y at (0.5000, 0.5000, 0.5000) and Ga at (0.5000, 0.5000, 0.0000).

As for the relative energy among the computed polymorphs: 0.50 kcal/mol of atoms.

***

A plane-wave DFT calculation with GGA-PBE was carried out for Sm3YGa2 after structural relaxation.

It has space group Pmc2_1 (No. 26), with a = 5.0831 Å, b = 9.5939 Å, c = 6.6418 Å, α = 90.00°, β = 90.00° and γ = 90.00°. The inequivalent atoms are Sm at (0.0000, 0.0492, 0.0000), Sm at (0.0000, 0.3293, 0.3426), Sm at (0.5000, 0.1761, 0.7061), Y at (0.5000, 0.4476, 0.0472), Ga at (0.0000, 0.3542, 0.8167) and Ga at (0.5000, 0.1470, 0.2334).

As for the relative energy among the computed polymorphs: 0.00 kcal/mol of atoms.

***

Here are the calculated M_tot numbers, same order: 0.0, 0.0, 0.0, 0.0, 0.8, 0.0, 0.0, 0.0, 0.5, 0.0, 0.0, 0.0 (μB per formula unit).